1.
! SmRuRh, optimized geometry, DFT PBE-GGA; values from VASP
&SYSTEM
  ibrav = 0, nat = 6, ntyp = 3
/
ATOMIC_SPECIES
Sm 150.36 Sm.upf
Ru 101.07 Ru.upf
Rh 102.91 Rh.upf
ATOMIC_POSITIONS crystal
Sm 0.231 0.633 0.864
Sm 0.769 0.367 0.136
Ru 0.754 0.013 0.766
Ru 0.246 0.987 0.234
Rh 0.000 0.000 0.500
Rh 0.500 0.500 0.500
CELL_PARAMETERS angstrom
-3.903 1.291 3.103
3.787 -2.563 2.370
4.748 3.463 -1.980
! Space-group type: C2/m, No. 12
! DFT formation energy in eV/atom: -0.17
! E in eV/atom: -7.284
! Density of states at the Fermi level in states/eV/cell: 3.80


2.
! La9Mg2Cd, optimized geometry, DFT PBE-GGA; values from VASP
&SYSTEM
  ibrav = 0, nat = 12, ntyp = 3
/
ATOMIC_SPECIES
La 138.91 La.upf
Cd 112.41 Cd.upf
Mg 24.30 Mg.upf
ATOMIC_POSITIONS crystal
La 0.000 0.500 0.165
La 0.000 0.500 0.500
La 0.500 0.500 0.332
La 0.500 0.500 0.668
La 0.500 0.000 0.165
La 0.500 0.500 0.000
La 0.000 0.500 0.835
La 0.500 0.000 0.500
La 0.500 0.000 0.835
Cd 0.000 0.000 0.000
Mg 0.000 0.000 0.668
Mg 0.000 0.000 0.332
CELL_PARAMETERS angstrom
5.106 0.000 0.000
0.000 5.106 0.000
0.000 0.000 15.329
! Space-group type: P4/mmm, No. 123
! DFT formation energy in eV/atom: -0.06
! E in eV/atom: -4.093
! Density of states at the Fermi level in states/eV/cell: 21.13


3.
! Zr2CdIn3, optimized geometry, DFT PBE-GGA; values from VASP
&SYSTEM
  ibrav = 0, nat = 6, ntyp = 3
/
ATOMIC_SPECIES
Zr 91.22 Zr.upf
In 114.82 In.upf
Cd 112.41 Cd.upf
ATOMIC_POSITIONS crystal
Zr 0.160 0.500 0.320
Zr 0.840 0.500 0.680
In 0.673 0.000 0.345
In 0.327 0.000 0.655
In 0.500 0.500 0.000
Cd 0.000 0.000 0.000
CELL_PARAMETERS angstrom
4.089 0.000 -1.294
0.000 4.513 0.000
0.032 0.000 7.212
! Distance to the lowest polymorph of the same formula in meV/atom: 0
! Space-group type: Cmmm, No. 65
! DFT formation energy in eV/atom: -0.28
! E in eV/atom: -4.649
! Density of states at the Fermi level in states/eV/cell: 2.76


4.
! Tl2IrSe, optimized geometry, DFT PBE-GGA; values from VASP
&SYSTEM
  ibrav = 0, nat = 4, ntyp = 3
/
ATOMIC_SPECIES
Se 78.96 Se.upf
Tl 204.38 Tl.upf
Ir 192.22 Ir.upf
ATOMIC_POSITIONS crystal
Se 0.750 0.250 0.500
Tl 0.250 0.750 0.500
Tl 0.000 0.000 0.000
Ir 0.500 0.500 0.000
CELL_PARAMETERS angstrom
5.013 -0.071 0.000
0.256 5.007 0.000
-2.634 -2.468 3.479
! Distance to the lowest polymorph of the same formula in meV/atom: 494
! Space-group type: I-4m2, No. 119
! E in eV/atom: -3.715
! Density of states at the Fermi level in states/eV/cell: 3.57
! Energy relative to the elements, uncorrected in eV per formula unit: 2.219


What did the second record say?
! La9Mg2Cd, optimized geometry, DFT PBE-GGA; values from VASP
&SYSTEM
  ibrav = 0, nat = 12, ntyp = 3
/
ATOMIC_SPECIES
La 138.91 La.upf
Cd 112.41 Cd.upf
Mg 24.30 Mg.upf
ATOMIC_POSITIONS crystal
La 0.000 0.500 0.165
La 0.000 0.500 0.500
La 0.500 0.500 0.332
La 0.500 0.500 0.668
La 0.500 0.000 0.165
La 0.500 0.500 0.000
La 0.000 0.500 0.835
La 0.500 0.000 0.500
La 0.500 0.000 0.835
Cd 0.000 0.000 0.000
Mg 0.000 0.000 0.668
Mg 0.000 0.000 0.332
CELL_PARAMETERS angstrom
5.106 0.000 0.000
0.000 5.106 0.000
0.000 0.000 15.329
! Space-group type: P4/mmm, No. 123
! DFT formation energy in eV/atom: -0.06
! E in eV/atom: -4.093
! Density of states at the Fermi level in states/eV/cell: 21.13